# HoTm2MgTl4

Crystalline HoTm2MgTl4 at its relaxed geometry (PBE-GGA, Alexandria via LeMat-Bulk).

abc: 5.225 5.225 9.329
angles: 73.74 73.74 60.00
Fractional positions:
1 Ho 0.000 0.000 0.000
2 Tm 0.755 0.755 0.735
3 Tm 0.245 0.245 0.265
4 Mg 0.500 0.500 0.500
5 Tl 0.376 0.376 0.871
6 Tl 0.875 0.875 0.375
7 Tl 0.125 0.125 0.625
8 Tl 0.624 0.624 0.129

Properties
* total DFT energy (no corrections): -26.65 eV for the cell shown
* space-group type: R-3m

# Ho2TmMgTl4

Crystalline Ho2TmMgTl4 at its relaxed geometry (PBE-GGA, Alexandria via LeMat-Bulk).

abc: 5.234 5.234 9.339
angles: 73.73 73.73 60.00
Fractional positions:
1 Ho 0.756 0.756 0.733
2 Ho 0.244 0.244 0.267
3 Tm 0.000 0.000 0.000
4 Mg 0.500 0.500 0.500
5 Tl 0.375 0.375 0.875
6 Tl 0.876 0.876 0.372
7 Tl 0.124 0.124 0.628
8 Tl 0.625 0.625 0.125

Properties
* total DFT energy (no corrections): -26.81 eV for the cell shown
* space-group type: R-3m

# HoTmMgTl

Crystalline HoTmMgTl at its relaxed geometry (PBE-GGA, Alexandria via LeMat-Bulk).

abc: 5.296 5.296 5.296
angles: 60.00 60.00 60.00
Fractional positions:
1 Mg 0.500 0.500 0.500
2 Tl 0.000 0.000 0.000
3 Tm 0.750 0.750 0.750
4 Ho 0.250 0.250 0.250

Properties
* total DFT energy (no corrections): -13.84 eV for the cell shown
* space-group type: F-43m

# YHoMgTl

Crystalline YHoMgTl at its relaxed geometry (PBE-GGA, Alexandria via LeMat-Bulk).

abc: 5.328 5.328 5.328
angles: 60.00 60.00 60.00
Fractional positions:
1 Y 0.750 0.750 0.750
2 Tl 0.500 0.500 0.500
3 Mg 0.000 0.000 0.000
4 Ho 0.250 0.250 0.250

Properties
* total DFT energy (no corrections): -15.98 eV for the cell shown
* space-group type: F-43m

# HoMgZrTl

Crystalline HoMgZrTl at its relaxed geometry (PBE-GGA, Alexandria via LeMat-Bulk).

abc: 5.152 5.152 5.152
angles: 60.00 60.00 60.00
Fractional positions:
1 Mg 0.500 0.500 0.500
2 Tl 0.000 0.000 0.000
3 Ho 0.250 0.250 0.250
4 Zr 0.750 0.750 0.750

Properties
* total DFT energy (no corrections): -17.32 eV for the cell shown
* space-group type: F-43m

# Ho3Tm2Mg2

Crystalline Ho3Tm2Mg2 at its relaxed geometry (PBE-GGA, Alexandria via LeMat-Bulk).

abc: 5.380 5.383 8.501
angles: 108.40 90.03 119.96
Fractional positions:
1 Ho 0.500 0.000 0.000
2 Ho 0.655 0.309 0.464
3 Ho 0.345 0.691 0.536
4 Tm 0.927 0.854 0.282
5 Tm 0.073 0.146 0.718
6 Mg 0.789 0.579 0.868
7 Mg 0.211 0.421 0.132

Properties
* total DFT energy (no corrections): -25.97 eV for the cell shown
* space-group type: P-1

# HoTm2Mg

Crystalline HoTm2Mg at its relaxed geometry (PBE-GGA, Alexandria via LeMat-Bulk).

abc: 3.522 3.522 9.266
angles: 90.00 90.00 90.00
Fractional positions:
1 Mg 0.500 0.500 0.000
2 Tm 0.000 0.000 0.761
3 Tm 0.000 0.000 0.239
4 Ho 0.500 0.500 0.500

Properties
* total DFT energy (no corrections): -15.21 eV for the cell shown
* space-group type: P4/mmm

# Ho12Tm5Mg

Crystalline Ho12Tm5Mg at its relaxed geometry (PBE-GGA, Alexandria via LeMat-Bulk).

abc: 6.094 6.094 17.116
angles: 93.40 96.82 60.00
Fractional positions:
1 Ho 0.777 0.000 0.333
2 Ho 0.223 0.000 0.667
3 Ho 0.611 0.000 0.834
4 Ho 0.389 0.000 0.166
5 Ho 0.279 0.665 0.834
6 Ho 0.055 0.665 0.166
7 Ho 0.945 0.335 0.834
8 Ho 0.721 0.335 0.166
9 Ho 0.556 0.333 0.667
10 Ho 0.889 0.667 0.667
11 Ho 0.111 0.333 0.333
12 Ho 0.444 0.667 0.333
13 Tm 0.500 0.000 0.500
14 Tm 0.167 0.667 0.500
15 Tm 0.833 0.333 0.500
16 Tm 0.667 0.667 0.000
17 Tm 0.333 0.333 0.000
18 Mg 0.000 0.000 0.000

Properties
* total DFT energy (no corrections): -78.55 eV for the cell shown
* space-group type: C2/m

Question: Among the records above, which one has the lowest total DFT energy (no corrections)?
Answer: Ho12Tm5Mg